[1]
## Sm6Fe23 (PBEsol)

Data for an optimized crystal structure of Sm6Fe23.

Unit cell a=8.351 b=8.351 c=8.351 alpha=60.00 beta=60.00 gamma=60.00
Positions (direct):
Fe1 0.122 0.122 0.633
Fe2 0.000 0.500 0.000
Fe3 0.500 0.000 0.000
Fe4 0.676 0.676 0.676
Fe5 0.878 0.367 0.878
Fe6 0.000 0.000 0.000
Fe7 0.500 0.000 0.500
Fe8 0.324 0.324 0.029
Fe9 0.324 0.029 0.324
Fe10 0.000 0.500 0.500
Fe11 0.500 0.500 0.000
Fe12 0.676 0.676 0.971
Fe13 0.878 0.878 0.878
Fe14 0.367 0.878 0.878
Fe15 0.633 0.122 0.122
Fe16 0.676 0.971 0.676
Fe17 0.000 0.000 0.500
Fe18 0.029 0.324 0.324
Fe19 0.122 0.633 0.122
Fe20 0.122 0.122 0.122
Fe21 0.971 0.676 0.676
Fe22 0.878 0.878 0.367
Fe23 0.324 0.324 0.324
Sm1 0.293 0.707 0.707
Sm2 0.707 0.707 0.293
Sm3 0.707 0.293 0.707
Sm4 0.293 0.293 0.707
Sm5 0.707 0.293 0.293
Sm6 0.293 0.707 0.293

ΔE_f: 55 meV/atom

***

[2]
## BaHgOs2 (PBEsol)

Data for an optimized crystal structure of BaHgOs2.

Unit cell a=4.239 b=4.239 c=4.514 alpha=90.00 beta=90.00 gamma=90.00
Positions (direct):
Os1 0.500 0.000 0.000
Os2 0.000 0.500 0.000
Ba1 0.500 0.500 0.500
Hg1 0.000 0.000 0.500

ΔE_f: 1444 meV/atom

***

[3]
## Y2HAu (PBEsol)

Data for an optimized crystal structure of Y2HAu.

Unit cell a=5.908 b=5.908 c=5.908 alpha=104.50 beta=112.01 gamma=112.01
Positions (direct):
H1 0.500 0.250 0.750
H2 0.000 0.500 0.500
Y1 0.078 0.875 0.453
Y2 0.578 0.203 0.125
Y3 0.922 0.375 0.797
Y4 0.422 0.547 0.625
Au1 0.000 0.000 0.000
Au2 0.500 0.750 0.250

***

[4]
## TlAsIrBr2 (PBEsol)

Data for an optimized crystal structure of TlAsIrBr2.

Unit cell a=4.575 b=5.347 c=5.347 alpha=90.00 beta=90.00 gamma=90.00
Positions (direct):
As1 0.500 0.000 0.000
Tl1 0.500 0.500 0.500
Br1 0.000 0.500 0.000
Br2 0.000 0.000 0.500
Ir1 0.000 0.000 0.000

Uncorrected formation energy: 0.03 eV/atom

***

[5]
## LiRuRh2 (PBEsol)

Data for an optimized crystal structure of LiRuRh2.

Unit cell a=3.642 b=3.642 c=4.648 alpha=113.06 beta=113.06 gamma=90.00
Positions (direct):
Ru1 0.500 0.500 0.000
Rh1 0.000 0.000 0.000
Rh2 0.750 0.250 0.500
Li1 0.250 0.750 0.500

ΔE_f: 95 meV/atom

***

[6]
## CaCdMo2 (PBEsol)

Data for an optimized crystal structure of CaCdMo2.

Unit cell a=2.878 b=2.878 c=10.398 alpha=82.05 beta=82.05 gamma=60.00
Positions (direct):
Mo1 0.254 0.254 0.239
Mo2 0.746 0.746 0.761
Ca1 0.500 0.500 0.500
Cd1 0.000 0.000 0.000

ΔE_f: 818 meV/atom

***

[7]
## CaMgB6H12O17 (PBEsol)

Data for an optimized crystal structure of CaMgB6H12O17.

Unit cell a=6.615 b=8.224 c=11.685 alpha=102.83 beta=90.00 gamma=90.00
Positions (direct):
B1 0.764 0.548 0.615
B2 0.506 0.845 0.230
B3 0.236 0.452 0.385
B4 0.284 0.905 0.776
B5 0.716 0.405 0.776
B6 0.284 0.595 0.224
B7 0.506 0.655 0.770
B8 0.764 0.952 0.385
B9 0.236 0.048 0.615
B10 0.716 0.095 0.224
B11 0.494 0.345 0.230
B12 0.494 0.155 0.770
H1 0.976 0.527 0.777
H2 0.999 0.281 0.339
H3 0.840 0.486 0.437
H4 0.216 0.740 0.929
H5 0.840 0.014 0.563
H6 0.622 0.548 0.099
H7 0.356 0.403 0.026
H8 0.784 0.240 0.929
H9 0.001 0.781 0.339
H10 0.784 0.260 0.071
H11 0.378 0.048 0.099
H12 0.024 0.473 0.223
H13 0.160 0.514 0.563
H14 0.356 0.097 0.974
H15 0.001 0.719 0.661
H16 0.216 0.760 0.071
H17 0.644 0.597 0.974
H18 0.999 0.219 0.661
H19 0.378 0.452 0.901
H20 0.976 0.973 0.223
H21 0.644 0.903 0.026
H22 0.160 0.986 0.437
H23 0.024 0.027 0.777
H24 0.622 0.952 0.901
O1 0.974 0.599 0.648
O2 0.661 0.249 0.190
O3 0.661 0.251 0.810
O4 0.875 0.250 0.000
O5 0.554 0.531 0.827
O6 0.026 0.401 0.352
O7 0.717 0.904 0.952
O8 0.721 0.527 0.490
O9 0.728 0.390 0.650
O10 0.446 0.031 0.827
O11 0.272 0.610 0.350
O12 0.279 0.027 0.490
O13 0.974 0.901 0.352
O14 0.616 0.823 0.325
O15 0.087 0.540 0.170
O16 0.913 0.460 0.830
O17 0.554 0.969 0.173
O18 0.339 0.751 0.810
O19 0.446 0.469 0.173
O20 0.717 0.596 0.048
O21 0.283 0.404 0.952
O22 0.384 0.323 0.325
O23 0.272 0.890 0.650
O24 0.616 0.677 0.675
O25 0.279 0.473 0.510
O26 0.384 0.177 0.675
O27 0.728 0.110 0.350
O28 0.026 0.099 0.648
O29 0.087 0.960 0.830
O30 0.283 0.096 0.048
O31 0.125 0.750 0.000
O32 0.339 0.749 0.190
O33 0.721 0.973 0.510
O34 0.913 0.040 0.170
Mg1 0.000 0.000 0.000
Mg2 0.000 0.500 0.000
Ca1 0.482 0.750 0.500
Ca2 0.518 0.250 0.500

***

[8]
## Li2CdSb2 (PBEsol)

Data for an optimized crystal structure of Li2CdSb2.

Unit cell a=4.393 b=4.393 c=6.659 alpha=109.26 beta=109.26 gamma=90.00
Positions (direct):
Cd1 0.000 0.000 0.000
Li1 0.750 0.250 0.500
Li2 0.250 0.750 0.500
Sb1 0.616 0.616 0.231
Sb2 0.384 0.384 0.769

Uncorrected formation energy: -0.14 eV/atom

***

[9]
## Sm2Fe12P7 (PBEsol)

Data for an optimized crystal structure of Sm2Fe12P7.

Unit cell a=3.613 b=8.865 c=8.865 alpha=120.00 beta=90.00 gamma=90.00
Positions (direct):
Fe1 0.500 0.789 0.903
Fe2 0.500 0.431 0.049
Fe3 0.000 0.056 0.631
Fe4 0.000 0.272 0.120
Fe5 0.500 0.115 0.211
Fe6 0.500 0.097 0.885
Fe7 0.500 0.618 0.569
Fe8 0.000 0.848 0.728
Fe9 0.000 0.369 0.425
Fe10 0.000 0.575 0.944
Fe11 0.500 0.951 0.382
Fe12 0.000 0.880 0.152
Sm1 0.500 0.333 0.667
Sm2 0.000 0.667 0.333
P1 0.500 0.893 0.603
P2 0.000 0.000 0.000
P3 0.000 0.592 0.701
P4 0.000 0.109 0.408
P5 0.500 0.397 0.290
P6 0.500 0.710 0.107
P7 0.000 0.299 0.891

ΔE_f: -792 meV/atom

***

[10]
## GeH2N (PBEsol)

Data for an optimized crystal structure of GeH2N.

Unit cell a=4.375 b=4.375 c=4.375 alpha=60.00 beta=60.00 gamma=60.00
Positions (direct):
H1 0.125 0.625 0.625
H2 0.625 0.125 0.625
H3 0.625 0.625 0.125
H4 0.625 0.625 0.625
Ge1 0.250 0.250 0.250
Ge2 0.000 0.000 0.000
N1 0.750 0.750 0.750
N2 0.500 0.500 0.500

***

[11]
## AlCoP (PBEsol)

Data for an optimized crystal structure of AlCoP.

Unit cell a=3.786 b=3.786 c=3.786 alpha=60.00 beta=60.00 gamma=60.00
Positions (direct):
Co1 0.250 0.250 0.250
Al1 0.500 0.500 0.500
P1 0.000 0.000 0.000

ΔE_f: -554 meV/atom

***

[12]
## IBrF2 (PBEsol)

Data for an optimized crystal structure of IBrF2.

Unit cell a=4.452 b=4.452 c=8.316 alpha=105.53 beta=105.53 gamma=90.00
Positions (direct):
F1 0.125 0.965 0.750
F2 0.215 0.875 0.250
F3 0.035 0.375 0.250
F4 0.625 0.785 0.750
Br1 0.750 0.250 0.500
Br2 0.500 0.500 0.000
I1 0.250 0.750 0.500
I2 0.000 0.000 0.000

Uncorrected formation energy: -0.50 eV/atom

***

Number 1: DOS(E_F) 35.0 states/eV per cell, electronic total energy -8.108 eV/atom. Number 2: DOS(E_F) 6.1 states/eV per cell, electronic total energy -5.343 eV/atom. Number 3: DOS(E_F) 5.4 states/eV per cell, electronic total energy -5.777 eV/atom. Number 4: DOS(E_F) 1.7 states/eV per cell, electronic total energy -4.226 eV/atom. Number 5: DOS(E_F) 4.0 states/eV per cell, electronic total energy -7.009 eV/atom. Number 6: DOS(E_F) 4.4 states/eV per cell, electronic total energy -5.899 eV/atom. Number 7: DOS(E_F) 0.0 states/eV per cell, electronic total energy -6.614 eV/atom. Number 8: DOS(E_F) 1.8 states/eV per cell, electronic total energy -2.984 eV/atom. Number 9: DOS(E_F) 21.7 states/eV per cell, electronic total energy -8.330 eV/atom. Number 10: DOS(E_F) 3.7 states/eV per cell, electronic total energy -4.536 eV/atom. Number 11: DOS(E_F) 1.3 states/eV per cell, electronic total energy -6.427 eV/atom. Number 12: DOS(E_F) 3.8 states/eV per cell, electronic total energy -2.373 eV/atom.